[1]
Below is an optimized crystal structure of ScNb3Rh, with properties calculated at the PBE level.

Calculated values
Energy relative to the lowest polymorph listed for this composition in meV/atom: 0
Crystal system: cubic
DOS(E_F) in states/eV/f.u.: 8.6

The structure in CIF format:
```
data_ScNb3Rh
_chemical_formula_sum 'Sc1 Nb3 Rh1'
_cell_length_a 4.859
_cell_length_b 4.859
_cell_length_c 4.859
_cell_angle_alpha 90.00
_cell_angle_beta 90.00
_cell_angle_gamma 90.00
_symmetry_space_group_name_H-M 'P m -3 m'
_symmetry_Int_Tables_number 221
_symmetry_space_group_name_Hall '-P 4 2 3'
loop_
_atom_site_label
_atom_site_fract_x
_atom_site_fract_y
_atom_site_fract_z
_atom_site_occupancy
Sc1 0.000 0.000 0.000 1
Nb1 0.000 0.500 0.500 1
Rh1 0.500 0.500 0.500 1
```

[2]
Below is an optimized crystal structure of ScNb2Rh, with properties calculated at the PBE level.

Calculated values
Energy relative to the lowest polymorph listed for this composition in meV/atom: 154
Crystal system: tetragonal
DOS(E_F) in states/eV/f.u.: 4.4

The structure in CIF format:
```
data_ScNb2Rh
_chemical_formula_sum 'Sc4 Nb8 Rh4'
_cell_length_a 7.646
_cell_length_b 7.646
_cell_length_c 5.335
_cell_angle_alpha 90.00
_cell_angle_beta 90.00
_cell_angle_gamma 90.00
_symmetry_space_group_name_H-M 'I -4 2 d'
_symmetry_Int_Tables_number 122
_symmetry_space_group_name_Hall 'I -4 2bw'
loop_
_atom_site_label
_atom_site_fract_x
_atom_site_fract_y
_atom_site_fract_z
_atom_site_occupancy
Sc1 0.000 0.000 0.000 1
Nb1 0.211 0.250 0.625 1
Rh1 0.000 0.000 0.500 1
```

[3]
Below is an optimized crystal structure of Sc4NbRh5, with properties calculated at the PBE level.

Calculated values
Crystal system: tetragonal
DOS(E_F) in states/eV/f.u.: 5.0

The structure in CIF format:
```
data_Sc4NbRh5
_chemical_formula_sum 'Sc4 Nb1 Rh5'
_cell_length_a 3.166
_cell_length_b 3.166
_cell_length_c 16.626
_cell_angle_alpha 90.00
_cell_angle_beta 90.00
_cell_angle_gamma 90.00
_symmetry_space_group_name_H-M 'P 4/m m m'
_symmetry_Int_Tables_number 123
_symmetry_space_group_name_Hall '-P 4 2'
loop_
_atom_site_label
_atom_site_fract_x
_atom_site_fract_y
_atom_site_fract_z
_atom_site_occupancy
Sc1 0.000 0.000 0.100 1
Sc2 0.000 0.000 0.299 1
Nb1 0.000 0.000 0.500 1
Rh1 0.500 0.500 0.000 1
Rh2 0.500 0.500 0.200 1
Rh3 0.500 0.500 0.399 1
```

[4]
Below is an optimized crystal structure of ScNb3Rh, with properties calculated at the PBE level.

Calculated values
Energy relative to the lowest polymorph listed for this composition in meV/atom: 889
Crystal system: cubic
DOS(E_F) in states/eV/f.u.: 8.6

The structure in CIF format:
```
data_ScNb3Rh
_chemical_formula_sum 'Sc1 Nb3 Rh1'
_cell_length_a 4.672
_cell_length_b 4.672
_cell_length_c 4.672
_cell_angle_alpha 90.00
_cell_angle_beta 90.00
_cell_angle_gamma 90.00
_symmetry_space_group_name_H-M 'P m -3 m'
_symmetry_Int_Tables_number 221
_symmetry_space_group_name_Hall '-P 4 2 3'
loop_
_atom_site_label
_atom_site_fract_x
_atom_site_fract_y
_atom_site_fract_z
_atom_site_occupancy
Sc1 0.000 0.000 0.000 1
Nb1 0.000 0.000 0.500 1
Rh1 0.500 0.500 0.500 1
```

[5]
Below is an optimized crystal structure of ScNbRh2, with properties calculated at the PBE level.

Calculated values
Crystal system: tetragonal
DOS(E_F) in states/eV/f.u.: 1.5

The structure in CIF format:
```
data_ScNbRh2
_chemical_formula_sum 'Sc4 Nb4 Rh8'
_cell_length_a 7.074
_cell_length_b 7.074
_cell_length_c 5.769
_cell_angle_alpha 90.00
_cell_angle_beta 90.00
_cell_angle_gamma 90.00
_symmetry_space_group_name_H-M 'I -4 2 d'
_symmetry_Int_Tables_number 122
_symmetry_space_group_name_Hall 'I -4 2bw'
loop_
_atom_site_label
_atom_site_fract_x
_atom_site_fract_y
_atom_site_fract_z
_atom_site_occupancy
Sc1 0.000 0.000 0.000 1
Nb1 0.000 0.000 0.500 1
Rh1 0.232 0.250 0.625 1
```

[6]
Below is an optimized crystal structure of Sc2NbRh2, with properties calculated at the PBE level.

Calculated values
Energy relative to the lowest polymorph listed for this composition in meV/atom: 0
Crystal system: tetragonal
DOS(E_F) in states/eV/f.u.: 6.1

The structure in CIF format:
```
data_Sc2NbRh2
_chemical_formula_sum 'Sc4 Nb2 Rh4'
_cell_length_a 6.685
_cell_length_b 6.685
_cell_length_c 4.207
_cell_angle_alpha 90.00
_cell_angle_beta 90.00
_cell_angle_gamma 90.00
_symmetry_space_group_name_H-M 'P 4/m b m'
_symmetry_Int_Tables_number 127
_symmetry_space_group_name_Hall '-P 4 2ab'
loop_
_atom_site_label
_atom_site_fract_x
_atom_site_fract_y
_atom_site_fract_z
_atom_site_occupancy
Sc1 0.171 0.329 0.000 1
Nb1 0.000 0.000 0.500 1
Rh1 0.141 0.641 0.500 1
```

[7]
Below is an optimized crystal structure of Sc3NbRh, with properties calculated at the PBE level.

Calculated values
Energy relative to the lowest polymorph listed for this composition in meV/atom: 0
Crystal system: cubic
DOS(E_F) in states/eV/f.u.: 5.9

The structure in CIF format:
```
data_Sc3NbRh
_chemical_formula_sum 'Sc3 Nb1 Rh1'
_cell_length_a 4.933
_cell_length_b 4.933
_cell_length_c 4.933
_cell_angle_alpha 90.00
_cell_angle_beta 90.00
_cell_angle_gamma 90.00
_symmetry_space_group_name_H-M 'P m -3 m'
_symmetry_Int_Tables_number 221
_symmetry_space_group_name_Hall '-P 4 2 3'
loop_
_atom_site_label
_atom_site_fract_x
_atom_site_fract_y
_atom_site_fract_z
_atom_site_occupancy
Sc1 0.000 0.000 0.500 1
Nb1 0.500 0.500 0.500 1
Rh1 0.000 0.000 0.000 1
```

[8]
Below is an optimized crystal structure of Sc2NbRh2, with properties calculated at the PBE level.

Calculated values
Energy relative to the lowest polymorph listed for this composition in meV/atom: 632
Crystal system: tetragonal
DOS(E_F) in states/eV/f.u.: 7.4

The structure in CIF format:
```
data_Sc2NbRh2
_chemical_formula_sum 'Sc4 Nb2 Rh4'
_cell_length_a 4.055
_cell_length_b 4.055
_cell_length_c 11.560
_cell_angle_alpha 90.00
_cell_angle_beta 90.00
_cell_angle_gamma 90.00
_symmetry_space_group_name_H-M 'I 4/m m m'
_symmetry_Int_Tables_number 139
_symmetry_space_group_name_Hall '-I 4 2'
loop_
_atom_site_label
_atom_site_fract_x
_atom_site_fract_y
_atom_site_fract_z
_atom_site_occupancy
Sc1 0.000 0.000 0.118 1
Nb1 0.000 0.000 0.500 1
Rh1 0.000 0.500 0.250 1
```

[9]
Below is an optimized crystal structure of Sc3NbRh, with properties calculated at the PBE level.

Calculated values
Energy relative to the lowest polymorph listed for this composition in meV/atom: 552
Crystal system: cubic
DOS(E_F) in states/eV/f.u.: 3.3

The structure in CIF format:
```
data_Sc3NbRh
_chemical_formula_sum 'Sc3 Nb1 Rh1'
_cell_length_a 4.892
_cell_length_b 4.892
_cell_length_c 4.892
_cell_angle_alpha 90.00
_cell_angle_beta 90.00
_cell_angle_gamma 90.00
_symmetry_space_group_name_H-M 'P m -3 m'
_symmetry_Int_Tables_number 221
_symmetry_space_group_name_Hall '-P 4 2 3'
loop_
_atom_site_label
_atom_site_fract_x
_atom_site_fract_y
_atom_site_fract_z
_atom_site_occupancy
Sc1 0.000 0.000 0.500 1
Nb1 0.000 0.000 0.000 1
Rh1 0.500 0.500 0.500 1
```

[10]
Below is an optimized crystal structure of ScNb2Rh, with properties calculated at the PBE level.

Calculated values
Energy relative to the lowest polymorph listed for this composition in meV/atom: 0
Crystal system: cubic
DOS(E_F) in states/eV/f.u.: 7.4

The structure in CIF format:
```
data_ScNb2Rh
_chemical_formula_sum 'Sc4 Nb8 Rh4'
_cell_length_a 6.527
_cell_length_b 6.527
_cell_length_c 6.527
_cell_angle_alpha 90.00
_cell_angle_beta 90.00
_cell_angle_gamma 90.00
_symmetry_space_group_name_H-M 'F m -3 m'
_symmetry_Int_Tables_number 225
_symmetry_space_group_name_Hall '-F 4 2 3'
loop_
_atom_site_label
_atom_site_fract_x
_atom_site_fract_y
_atom_site_fract_z
_atom_site_occupancy
Sc1 0.000 0.000 0.000 1
Nb1 0.250 0.250 0.250 1
Rh1 0.000 0.000 0.500 1
```

[11]
Below is an optimized crystal structure of Sc2Nb2Rh, with properties calculated at the PBE level.

Calculated values
Crystal system: tetragonal
DOS(E_F) in states/eV/f.u.: 18.3

The structure in CIF format:
```
data_Sc2Nb2Rh
_chemical_formula_sum 'Sc4 Nb4 Rh2'
_cell_length_a 6.591
_cell_length_b 6.591
_cell_length_c 4.716
_cell_angle_alpha 90.00
_cell_angle_beta 90.00
_cell_angle_gamma 90.00
_symmetry_space_group_name_H-M 'P 4/m b m'
_symmetry_Int_Tables_number 127
_symmetry_space_group_name_Hall '-P 4 2ab'
loop_
_atom_site_label
_atom_site_fract_x
_atom_site_fract_y
_atom_site_fract_z
_atom_site_occupancy
Sc1 0.165 0.335 0.000 1
Nb1 0.141 0.641 0.500 1
Rh1 0.000 0.000 0.500 1
```

[12]
Below is an optimized crystal structure of Sc3NbRh4, with properties calculated at the PBE level.

Calculated values
Crystal system: tetragonal
DOS(E_F) in states/eV/f.u.: 4.3

The structure in CIF format:
```
data_Sc3NbRh4
_chemical_formula_sum 'Sc3 Nb1 Rh4'
_cell_length_a 3.150
_cell_length_b 3.150
_cell_length_c 13.400
_cell_angle_alpha 90.00
_cell_angle_beta 90.00
_cell_angle_gamma 90.00
_symmetry_space_group_name_H-M 'P 4/m m m'
_symmetry_Int_Tables_number 123
_symmetry_space_group_name_Hall '-P 4 2'
loop_
_atom_site_label
_atom_site_fract_x
_atom_site_fract_y
_atom_site_fract_z
_atom_site_occupancy
Sc1 0.000 0.000 0.000 1
Sc2 0.000 0.000 0.249 1
Nb1 0.000 0.000 0.500 1
Rh1 0.500 0.500 0.125 1
Rh2 0.500 0.500 0.373 1
```

no.,DFT formation energy (kcal/mol of atoms)
1,18.12
2,3.02
3,-19.88
4,38.63
5,-4.66
6,-12.61
7,4.96
8,1.97
9,17.69
10,-0.52
11,-0.18
12,-19.04